Entry 1:
{"formula": "TiCu2Pd", "functional": "PBE-GGA", "state": "optimized geometry", "spacegroup": "I-42d, No. 122", "energy_ev_per_atom": -5.12, "formation_energy_ev_per_atom": 0.1957, "lattice": [[-3.470, 3.470, 2.533], [3.470, -3.470, 2.533], [3.470, 3.470, -2.533]], "species": ["Ti", "Ti", "Cu", "Cu", "Cu", "Cu", "Pd", "Pd"], "fractional_positions": [[0.000, 0.000, 0.000], [0.750, 0.250, 0.500], [0.127, 0.125, 0.502], [0.375, 0.873, 0.998], [0.623, 0.625, 0.498], [0.875, 0.377, 0.002], [0.250, 0.750, 0.500], [0.500, 0.500, 0.000]]}

***

Entry 2:
{"formula": "TiCu4Pd7", "functional": "PBE-GGA", "state": "optimized geometry", "spacegroup": "C2/m, No. 12", "energy_ev_per_atom": -5.09, "formation_energy_ev_per_atom": -0.0359, "polymorph_energy_mev_per_atom": 185, "lattice": [[6.052, -2.312, 0.000], [6.052, 2.312, 0.000], [-3.692, 0.000, 6.494]], "species": ["Ti", "Cu", "Cu", "Cu", "Cu", "Pd", "Pd", "Pd", "Pd", "Pd", "Pd", "Pd"], "fractional_positions": [[0.000, 0.000, 0.000], [0.317, 0.317, 0.642], [0.459, 0.459, 0.306], [0.541, 0.541, 0.694], [0.683, 0.683, 0.358], [0.077, 0.077, 0.415], [0.183, 0.183, 0.863], [0.239, 0.239, 0.259], [0.500, 0.500, 0.000], [0.761, 0.761, 0.741], [0.817, 0.817, 0.137], [0.923, 0.923, 0.585]]}

***

Entry 3:
{"formula": "Ti2Cu2Pd5", "functional": "PBE-GGA", "state": "optimized geometry", "spacegroup": "Cc, No. 9", "energy_ev_per_atom": -5.98, "formation_energy_ev_per_atom": -0.4308, "lattice": [[6.036, -4.098, 0.000], [6.036, 4.098, 0.000], [-1.275, 0.000, 5.368]], "species": ["Ti", "Ti", "Ti", "Ti", "Cu", "Cu", "Cu", "Cu", "Pd", "Pd", "Pd", "Pd", "Pd", "Pd", "Pd", "Pd", "Pd", "Pd"], "fractional_positions": [[0.149, 0.851, 0.500], [0.154, 0.492, 0.133], [0.492, 0.154, 0.633], [0.851, 0.149, 0.000], [0.148, 0.501, 0.638], [0.501, 0.148, 0.138], [0.507, 0.822, 0.299], [0.822, 0.507, 0.799], [0.160, 0.180, 0.822], [0.177, 0.818, 0.995], [0.180, 0.160, 0.322], [0.458, 0.502, 0.448], [0.488, 0.828, 0.795], [0.502, 0.458, 0.948], [0.818, 0.177, 0.495], [0.828, 0.488, 0.295], [0.828, 0.839, 0.657], [0.839, 0.828, 0.157]]}

***

Entry 4:
{"formula": "TiCu3Pd6", "functional": "PBE-GGA", "state": "optimized geometry", "spacegroup": "P2_1/m, No. 11", "energy_ev_per_atom": -5.43, "formation_energy_ev_per_atom": -0.2981, "polymorph_energy_mev_per_atom": 0, "lattice": [[8.148, 0.000, 0.000], [0.000, 4.034, 0.000], [-1.016, 0.000, 8.818]], "species": ["Ti", "Ti", "Cu", "Cu", "Cu", "Cu", "Cu", "Cu", "Pd", "Pd", "Pd", "Pd", "Pd", "Pd", "Pd", "Pd", "Pd", "Pd", "Pd", "Pd"], "fractional_positions": [[0.066, 0.250, 0.378], [0.934, 0.750, 0.622], [0.253, 0.250, 0.008], [0.349, 0.750, 0.808], [0.449, 0.250, 0.603], [0.551, 0.750, 0.397], [0.651, 0.250, 0.192], [0.747, 0.750, 0.992], [0.060, 0.750, 0.903], [0.150, 0.250, 0.695], [0.155, 0.750, 0.209], [0.250, 0.750, 0.512], [0.368, 0.250, 0.311], [0.458, 0.750, 0.101], [0.542, 0.250, 0.899], [0.632, 0.750, 0.689], [0.750, 0.250, 0.488], [0.845, 0.250, 0.791], [0.850, 0.750, 0.305], [0.940, 0.250, 0.097]]}